Mg3ScCd4 | PBE | optimized geometry

Values from the calculation:
- Density: 5.49 g cm⁻³
- Total magnetization: 0.000 μB per atom
- Space group: P4/mmm
- Formation enthalpy at 0 K: -0.174 eV/atom

a = 4.7934 Å, b = 7.4695 Å, c = 9.5866 Å
α = 90.00°, β = 90.00°, γ = 90.00°
Element x y z (fractional)
Cd (0.5000, 0.7502, 0.5000)
Cd (0.0007, 0.7502, 0.7500)
Cd (0.9993, 0.2498, 0.2500)
Cd (0.5000, 0.7502, 0.0000)
Cd (0.9993, 0.7502, 0.2500)
Cd (0.5000, 0.2498, 0.5000)
Cd (0.5000, 0.2498, 0.0000)
Cd (0.0007, 0.2498, 0.7500)
Sc (0.0000, 0.5000, 0.0000)
Sc (0.0000, 0.5000, 0.5000)
Mg (0.0000, 0.0000, 0.5000)
Mg (0.5007, 0.0000, 0.7500)
Mg (0.4993, 0.0000, 0.2500)
Mg (0.5005, 0.5000, 0.7500)
Mg (0.4995, 0.5000, 0.2500)
Mg (0.0000, 0.0000, 0.0000)

ZnIn2Pt2 | PBE | optimized geometry

Values from the calculation:
- Density: 11.79 g cm⁻³
- Total magnetization: 0.000 μB per atom
- Space group: P4/mbm
- Formation enthalpy at 0 K: -0.200 eV/atom

a = 8.1409 Å, b = 8.1409 Å, c = 2.9132 Å
α = 90.00°, β = 90.00°, γ = 90.00°
Element x y z (fractional)
Zn (0.5000, 0.5000, 0.0000)
Zn (0.0000, 0.0000, 0.0000)
Pt (0.8564, 0.3564, 0.5000)
Pt (0.6436, 0.8564, 0.5000)
Pt (0.1436, 0.6436, 0.5000)
Pt (0.3564, 0.1436, 0.5000)
In (0.6533, 0.1533, 0.0000)
In (0.8467, 0.6533, 0.0000)
In (0.1533, 0.3467, 0.0000)
In (0.3467, 0.8467, 0.0000)